! Pu2SN (PBE, optimized geometry); values from VASP
&SYSTEM
  ibrav = 0, nat = 4, ntyp = 3
/
ATOMIC_SPECIES
S 32.06 S.upf
Pu 244.00 Pu.upf
N 14.01 N.upf
CELL_PARAMETERS angstrom
-0.081 -2.946 2.078
2.920 -0.955 1.889
-1.163 2.365 6.435
ATOMIC_POSITIONS crystal
S 0.669 0.669 0.994
Pu 0.242 0.242 0.275
Pu 0.095 0.095 0.716
N 0.495 0.495 0.515
! **DOS at the Fermi energy**: 11.74 states/eV/cell
! **V**: 18.68 Å³/atom
! **Space-group type**: R3m, No. 160
! **Formation energy from raw total energies**: -1.243 eV per atom